Record 1
Here is a relaxed K2PaMoO8 crystal from Alexandria. Energies are from PBE with a Hubbard U.

Cell lengths 4.8863, 5.9419, 6.8162 Å; angles 90.00, 90.00, 92.93 degrees
With the nearest neighbours (Å) after each atom.
Element x y z (fractional)
K 0.5000 0.5000 0.7602  6 O 2.65-2.93
K 0.5000 0.5000 0.2398  6 O 2.65-2.93
Pa 0.0000 0.0000 0.5000  2 O 1.94
Mo 0.0000 0.0000 0.0000  6 O 1.90-2.10
O 0.0693 0.7927 0.2043  1 Mo 1.90
O 0.5789 0.9080 0.0000  1 O 1.37
O 0.9307 0.2073 0.2043  1 Mo 1.90
O 0.9307 0.2073 0.7957  1 Mo 1.90
O 0.4211 0.0920 0.0000  1 O 1.37
O 0.0693 0.7927 0.7957  1 Mo 1.90
O 0.6660 0.8100 0.5000  1 Pa 1.94
O 0.3340 0.1900 0.5000  1 Pa 1.94

- Electronic total energy: -6.756 eV per atom
- Volume: 16.47 Å³/atom


Record 2
Here is a relaxed VZnOs2F crystal from Alexandria. Energies are from PBE with a Hubbard U.

Cell lengths 4.2593, 3.9968, 4.2593 Å; angles 90.00, 90.00, 90.00 degrees
With the nearest neighbours (Å) after each atom.
Element x y z (fractional)
Zn 0.0000 0.5000 0.0000  2 F 2.00
F 0.0000 0.0000 0.0000  2 Zn 2.00, 4 Os 2.13
Os 0.0000 0.0000 0.5000  2 F 2.13
Os 0.5000 0.0000 0.0000  2 F 2.13
V 0.5000 0.5000 0.5000  8 Os 2.92, 4 Zn 3.01

- Electronic total energy: -5.330 eV per atom
- Volume: 14.50 Å³/atom